Material: AcSmAs2O8
Method: DFT, GGA-PBE
State: optimized geometry

Geometry as extended XYZ:
```
12
Lattice="5.235 0.000 0.000 0.000 5.235 0.000 -2.617 -2.617 5.999" Properties=species:S:1:pos:R:3 pbc="T T T"
Ac 2.617 0.000 2.999
Sm 0.000 0.000 0.000
As 2.617 2.617 0.000
As 0.000 2.617 2.999
O 3.364 3.904 0.880
O 1.871 1.330 0.880
O 1.299 1.981 3.947
O -1.299 3.254 3.947
O -0.636 1.319 2.051
O 0.636 3.916 2.051
O -1.287 0.746 5.119
O 1.287 -0.746 5.119
```

- Formation energy from raw total energies: -2333.8 meV per atom
- Fermi-level density of states: 0.000 states/eV/f.u.
- Symmetry: I-4